LaYHoTe3 | PBE-GGA | relaxed

Cell lengths 4.3437, 8.6019, 10.8642 Å; angles 106.25, 90.00, 90.00 degrees
Last column: nearest neighbours and their distance in Å.
Fractional coordinates of all 12 atoms:
Te: 0.2500 0.7736 0.5470  3 Y 3.02-3.14, 2 La 3.29
Te: 0.2500 0.0926 0.8944  2 Ho 3.00, 1 Y 3.14, 2 La 3.21
Te: 0.7500 0.4811 0.1997  3 Ho 3.08-3.09, 1 Y 3.19, 2 La 3.39
Te: 0.7500 0.9074 0.1056  2 Ho 3.00, 1 Y 3.14, 2 La 3.21
Te: 0.7500 0.2264 0.4530  3 Y 3.02-3.14, 2 La 3.29
Te: 0.2500 0.5189 0.8003  3 Ho 3.08-3.09, 1 Y 3.19, 2 La 3.39
La: 0.2500 0.1859 0.2190  7 Te 3.21-3.39
La: 0.7500 0.8141 0.7810  7 Te 3.21-3.39
Y: 0.2500 0.1540 0.6226  5 Te 3.02-3.19
Y: 0.7500 0.8460 0.3774  5 Te 3.02-3.19
Ho: 0.2500 0.6630 0.0943  5 Te 3.00-3.09
Ho: 0.7500 0.3370 0.9057  5 Te 3.00-3.09

- spin magnetization (μB/cell) = 0.000
- calculated volume (Å³ per cell) = 389.70
- total DFT energy (no corrections) (eV/atom) = -5.5294
- energy relative to the elements, uncorrected (eV/atom) = -1.297



La3YHo2Te6 | PBE-GGA | relaxed

Cell lengths 4.4234, 9.0110, 10.0189 Å; angles 104.21, 102.75, 90.00 degrees
Last column: nearest neighbours and their distance in Å.
Fractional coordinates of all 12 atoms:
Te: 0.9956 0.7586 0.9912  1 Ho 3.06, 2 Y 3.09, 3 La 3.22-3.23
Te: 0.6709 0.5725 0.3419  3 Ho 3.08, 3 La 3.24
Te: 0.3365 0.9062 0.6730  2 Ho 3.08, 1 Y 3.09, 3 La 3.23-3.24
Te: 0.6635 0.0938 0.3270  2 Ho 3.08, 1 Y 3.09, 3 La 3.23-3.24
Te: 0.3291 0.4275 0.6581  3 Ho 3.08, 3 La 3.24
Te: 0.0044 0.2414 0.0088  1 Ho 3.06, 2 Y 3.09, 3 La 3.22-3.23
Ho: 0.8337 0.6674 0.6673  6 Te 3.06-3.08
Ho: 0.1663 0.3326 0.3327  6 Te 3.06-3.08
Y: 0.5000 0.0000 0.0000  6 Te 3.09
La: 0.5000 0.5000 0.0000  6 Te 3.23-3.24
La: 0.1658 0.8325 0.3317  6 Te 3.22-3.24
La: 0.8342 0.1675 0.6683  6 Te 3.22-3.24

- spin magnetization (μB/cell) = 0.000
- calculated volume (Å³ per cell) = 376.95
- total DFT energy (no corrections) (eV/atom) = -5.5432
- energy relative to the elements, uncorrected (eV/atom) = -1.439



La3Y3HoTe8 | PBE-GGA | relaxed

Cell lengths 8.8531, 8.8531, 8.9522 Å; angles 119.64, 90.00, 120.00 degrees
Last column: nearest neighbours and their distance in Å.
Fractional coordinates of all 15 atoms:
Te: 0.2596 0.0102 0.2609  2 Y 3.08, 1 Ho 3.14, 2 La 3.21
Te: 0.2551 0.5101 0.2652  3 Y 3.08, 3 La 3.21
Te: 0.7404 0.9898 0.7391  2 Y 3.08, 1 Ho 3.14, 2 La 3.21
Te: 0.2493 0.9898 0.7391  2 Y 3.08, 1 Ho 3.14, 2 La 3.21
Te: 0.7507 0.0102 0.2609  2 Y 3.08, 1 Ho 3.14, 2 La 3.21
Te: 0.2494 0.4987 0.7391  2 Y 3.08, 1 Ho 3.14, 2 La 3.21
Te: 0.7449 0.4899 0.7348  3 Y 3.08, 3 La 3.21
Te: 0.7506 0.5013 0.2609  2 Y 3.08, 1 Ho 3.14, 2 La 3.21
Y: 0.5000 0.5000 0.5000  6 Te 3.08
Y: 0.0000 0.5000 0.5000  6 Te 3.08
Y: 0.5000 0.0000 0.5000  6 Te 3.08
La: 0.0000 0.0000 0.0000  6 Te 3.21
La: 0.5000 0.5000 0.0000  6 Te 3.21
La: 0.0000 0.5000 0.0000  6 Te 3.21
Ho: 0.0000 0.0000 0.5000  6 Te 3.14

- spin magnetization (μB/cell) = 0.000
- calculated volume (Å³ per cell) = 498.86
- total DFT energy (no corrections) (eV/atom) = -5.7400
- energy relative to the elements, uncorrected (eV/atom) = -1.481



La4YHo3Te8 | PBE-GGA | relaxed

Cell lengths 8.8533, 8.9973, 8.8534 Å; angles 119.48, 120.00, 90.00 degrees
Last column: nearest neighbours and their distance in Å.
Fractional coordinates of all 16 atoms:
Te: 0.7428 0.7320 0.9874  2 Ho 3.08, 1 Y 3.09, 3 La 3.23-3.24
Te: 0.7554 0.2680 0.5108  2 Ho 3.08, 1 Y 3.09, 3 La 3.23-3.24
Te: 0.7554 0.2680 0.0126  2 Ho 3.08, 1 Y 3.09, 3 La 3.23-3.24
Te: 0.2446 0.7320 0.9874  2 Ho 3.08, 1 Y 3.09, 3 La 3.23-3.24
Te: 0.2563 0.2688 0.5125  3 Ho 3.08, 3 La 3.24
Te: 0.2446 0.7320 0.4892  2 Ho 3.08, 1 Y 3.09, 3 La 3.23-3.24
Te: 0.2572 0.2680 0.0126  2 Ho 3.08, 1 Y 3.09, 3 La 3.23-3.24
Te: 0.7437 0.7312 0.4875  3 Ho 3.08, 3 La 3.24
La: 0.0000 0.0000 0.0000  6 Te 3.24
La: 0.5000 0.0000 0.5000  6 Te 3.24
La: 0.5000 0.0000 0.0000  6 Te 3.23
La: 0.0000 0.0000 0.5000  6 Te 3.24
Ho: 0.5000 0.5000 0.0000  6 Te 3.08
Ho: 0.5000 0.5000 0.5000  6 Te 3.08
Ho: 0.0000 0.5000 0.5000  6 Te 3.08
Y: 0.0000 0.5000 0.0000  6 Te 3.09

- spin magnetization (μB/cell) = 0.000
- calculated volume (Å³ per cell) = 502.58
- total DFT energy (no corrections) (eV/atom) = -5.4984
- energy relative to the elements, uncorrected (eV/atom) = -1.433



La2Y3HoTe6 | PBE-GGA | relaxed

Cell lengths 4.4081, 8.9214, 9.9075 Å; angles 103.00, 102.85, 90.00 degrees
Last column: nearest neighbours and their distance in Å.
Fractional coordinates of all 12 atoms:
La: 0.8325 0.6656 0.6651  6 Te 3.20-3.25
La: 0.1675 0.3344 0.3349  6 Te 3.20-3.25
Te: 0.6634 0.0707 0.3269  1 Ho 3.07, 3 Y 3.08-3.10, 2 La 3.21
Te: 0.3377 0.4078 0.6754  3 Y 3.05-3.07, 3 La 3.20
Te: 0.0053 0.7550 0.0105  2 Ho 3.12, 3 Y 3.13-3.15, 1 La 3.25
Te: 0.9947 0.2450 0.9895  2 Ho 3.12, 3 Y 3.13-3.15, 1 La 3.25
Te: 0.6623 0.5922 0.3246  3 Y 3.05-3.07, 3 La 3.20
Te: 0.3366 0.9293 0.6731  1 Ho 3.07, 3 Y 3.08-3.10, 2 La 3.21
Y: 0.5000 0.5000 0.0000  6 Te 3.05-3.15
Y: 0.8283 0.1651 0.6565  6 Te 3.07-3.13
Y: 0.1717 0.8349 0.3435  6 Te 3.07-3.13
Ho: 0.5000 0.0000 0.0000  6 Te 3.07-3.12

- spin magnetization (μB/cell) = 0.000
- calculated volume (Å³ per cell) = 369.62
- total DFT energy (no corrections) (eV/atom) = -5.7840
- energy relative to the elements, uncorrected (eV/atom) = -1.394



La2HoZnTe5 | PBE-GGA | relaxed

Cell lengths 4.3609, 9.9139, 13.2824 Å; angles 90.00, 90.00, 102.71 degrees
Last column: nearest neighbours and their distance in Å.
Fractional coordinates of all 18 atoms:
Te: 0.4989 0.9977 0.7788  1 Zn 2.62
Te: 0.6434 0.2867 0.5009  1 Ho 3.07, 4 La 3.31-3.36
Te: 0.7119 0.4237 0.1725  2 Ho 3.05, 3 La 3.27-3.35
Te: 0.5011 0.0023 0.2788  1 Zn 2.62
Te: 0.9555 0.9110 0.5631  2 Zn 2.65
Te: 0.6889 0.3778 0.8493  1 Zn 2.79, 2 Ho 3.08
Te: 0.3566 0.7133 0.0009  1 Ho 3.07, 4 La 3.31-3.36
Te: 0.2881 0.5763 0.6725  2 Ho 3.05, 3 La 3.27-3.35
Te: 0.3111 0.6222 0.3493  1 Zn 2.79, 2 Ho 3.08
Te: 0.0445 0.0890 0.0631  2 Zn 2.65
Ho: 0.1983 0.3965 0.0128  6 Te 3.05-3.08
Ho: 0.8017 0.6035 0.5128  6 Te 3.05-3.08
La: 0.1283 0.2565 0.3101  8 Te 3.27-3.66
La: 0.8848 0.7695 0.1839  8 Te 3.31-3.48
La: 0.1152 0.2305 0.6839  8 Te 3.31-3.48
La: 0.8717 0.7435 0.8101  8 Te 3.27-3.66
Zn: 0.4370 0.8739 0.4525  4 Te 2.62-2.79
Zn: 0.5630 0.1261 0.9525  4 Te 2.62-2.79

- spin magnetization (μB/cell) = 0.000
- calculated volume (Å³ per cell) = 560.18
- total DFT energy (no corrections) (eV/atom) = -4.7719
- energy relative to the elements, uncorrected (eV/atom) = -1.281



La7Ho4Th | PBE-GGA | relaxed

Cell lengths 7.3714, 6.4074, 12.2680 Å; angles 69.47, 52.82, 90.01 degrees
Last column: nearest neighbours and their distance in Å.
Fractional coordinates of all 12 atoms:
La: 0.9141 0.9490 0.3304  6 Ho 3.56-3.81, 1 Th 3.59, 5 La 3.61-3.76
La: 0.0859 0.0510 0.6696  6 Ho 3.56-3.81, 1 Th 3.59, 5 La 3.61-3.76
La: 0.1636 0.4379 0.3367  7 La 3.61-3.76, 5 Ho 3.66-3.75
La: 0.5000 0.0000 0.0000  8 La 3.62-3.74, 2 Ho 3.63, 2 Th 3.69
La: 0.7590 0.4986 0.0031  7 La 3.51-3.86, 3 Ho 3.57-3.60, 2 Th 3.65-3.66
La: 0.2410 0.5014 0.9969  7 La 3.51-3.86, 3 Ho 3.57-3.60, 2 Th 3.65-3.66
La: 0.8364 0.5621 0.6633  7 La 3.61-3.76, 5 Ho 3.66-3.75
Ho: 0.6683 0.4559 0.3316  1 Th 3.57, 7 La 3.57-3.72, 4 Ho 3.58-3.72
Ho: 0.5662 0.0539 0.6721  1 Th 3.53, 8 La 3.56-3.81, 3 Ho 3.59-3.72
Ho: 0.4338 0.9461 0.3279  1 Th 3.53, 8 La 3.56-3.81, 3 Ho 3.59-3.72
Ho: 0.3317 0.5441 0.6684  1 Th 3.57, 7 La 3.57-3.72, 4 Ho 3.58-3.72
Th: 0.0000 0.0000 0.0000  4 Ho 3.53-3.57, 8 La 3.59-3.69

- spin magnetization (μB/cell) = 0.000
- calculated volume (Å³ per cell) = 414.51
- total DFT energy (no corrections) (eV/atom) = -5.0028



La2Ho5Th4 | PBE-GGA | relaxed

Cell lengths 3.5222, 9.0766, 11.7355 Å; angles 95.72, 84.18, 78.32 degrees
Last column: nearest neighbours and their distance in Å.
Fractional coordinates of all 11 atoms:
Ho: 0.5000 0.0000 0.0000  6 Ho 3.48-3.55, 6 Th 3.53-3.64
Ho: 0.7991 0.5589 0.6663  4 Ho 3.52-3.75, 4 Th 3.55-3.71, 2 La 3.55-3.56
Ho: 0.1506 0.9160 0.7393  6 Ho 3.48-3.75, 3 La 3.52-3.82, 3 Th 3.52-3.66
Ho: 0.2009 0.4411 0.3337  4 Ho 3.52-3.75, 4 Th 3.55-3.71, 2 La 3.55-3.56
Ho: 0.8494 0.0840 0.2607  6 Ho 3.48-3.75, 3 La 3.52-3.82, 3 Th 3.52-3.66
La: 0.1296 0.1781 0.5367  5 Ho 3.52-3.82, 4 La 3.52-3.68, 2 Th 3.55-3.69
La: 0.8704 0.8219 0.4633  5 Ho 3.52-3.82, 4 La 3.52-3.68, 2 Th 3.55-3.69
Th: 0.4463 0.2753 0.8060  5 Th 3.46-3.52, 5 Ho 3.53-3.71, 2 La 3.55-3.69
Th: 0.8178 0.3532 0.0635  7 Th 3.46-3.66, 5 Ho 3.52-3.65
Th: 0.1822 0.6468 0.9365  7 Th 3.46-3.66, 5 Ho 3.52-3.65
Th: 0.5537 0.7247 0.1940  5 Th 3.46-3.52, 5 Ho 3.53-3.71, 2 La 3.55-3.69

- spin magnetization (μB/cell) = 0.000
- calculated volume (Å³ per cell) = 362.73
- total DFT energy (no corrections) (eV/atom) = -5.5794



La2Ho5Th2 | PBE-GGA | relaxed

Cell lengths 3.4921, 8.1598, 12.8532 Å; angles 119.50, 97.81, 90.00 degrees
Last column: nearest neighbours and their distance in Å.
Fractional coordinates of all 9 atoms:
Ho: 0.6922 0.8386 0.3843  1 Th 3.29, 6 Ho 3.31-3.49, 3 La 3.55-3.67
Ho: 0.0904 0.4561 0.1808  5 Ho 3.26-3.49, 4 Th 3.48-3.58, 1 La 3.65
Ho: 0.3078 0.1614 0.6157  1 Th 3.29, 6 Ho 3.31-3.49, 3 La 3.55-3.67
Ho: 0.9096 0.5439 0.8192  5 Ho 3.26-3.49, 4 Th 3.48-3.58, 1 La 3.65
Ho: 0.0000 0.0000 0.0000  4 Ho 3.26-3.49, 4 Th 3.40
Th: 0.4489 0.2510 0.8978  7 Ho 3.29-3.58, 3 Th 3.49-3.57
Th: 0.5511 0.7490 0.1022  7 Ho 3.29-3.58, 3 Th 3.49-3.57
La: 0.8235 0.7921 0.6469  2 La 3.49, 4 Ho 3.55-3.67
La: 0.1765 0.2079 0.3531  2 La 3.49, 4 Ho 3.55-3.67

- spin magnetization (μB/cell) = 0.000
- calculated volume (Å³ per cell) = 314.88
- total DFT energy (no corrections) (eV/atom) = -5.0520



La2Ho5Th | PBE-GGA | relaxed

Cell lengths 3.6038, 12.1460, 16.3578 Å; angles 82.87, 48.60, 81.42 degrees
Last column: nearest neighbours and their distance in Å.
Fractional coordinates of all 16 atoms:
La: 0.9653 0.1684 0.6502  3 La 3.35-3.60, 2 Ho 3.61
La: 0.1404 0.2003 0.9200  3 La 3.35-3.60, 6 Ho 3.43-3.64
La: 0.0347 0.8316 0.3498  3 La 3.35-3.60, 2 Ho 3.61
La: 0.8596 0.7997 0.0800  3 La 3.35-3.60, 6 Ho 3.43-3.64
Ho: 0.9313 0.9503 0.8639  4 Ho 3.40-3.60, 2 Th 3.56, 4 La 3.58-3.64
Ho: 0.7706 0.9022 0.5926  3 Ho 3.21-3.52, 2 Th 3.36
Ho: 0.2294 0.0978 0.4074  3 Ho 3.21-3.52, 2 Th 3.36
Ho: 0.9349 0.3848 0.4576  2 Th 3.44-3.45, 8 Ho 3.49-3.77
Ho: 0.0232 0.4348 0.7530  1 Th 3.49, 8 Ho 3.60-3.77, 2 La 3.87
Ho: 0.9768 0.5652 0.2470  1 Th 3.49, 8 Ho 3.60-3.77, 2 La 3.87
Ho: 0.0651 0.6152 0.5424  2 Th 3.44-3.45, 8 Ho 3.49-3.77
Ho: 0.1490 0.3987 0.0507  4 Ho 3.24-3.60, 2 Th 3.33, 2 La 3.43
Ho: 0.0687 0.0497 0.1361  4 Ho 3.40-3.60, 2 Th 3.56, 4 La 3.58-3.64
Ho: 0.8510 0.6013 0.9493  4 Ho 3.24-3.60, 2 Th 3.33, 2 La 3.43
Th: 0.1193 0.2743 0.2478  9 Ho 3.33-3.56, 2 Th 3.60
Th: 0.8807 0.7257 0.7522  9 Ho 3.33-3.56, 2 Th 3.60

- spin magnetization (μB/cell) = 0.000
- calculated volume (Å³ per cell) = 530.78
- total DFT energy (no corrections) (eV/atom) = -4.9398



La4Ho7Th | PBE-GGA | relaxed

Cell lengths 5.9999, 11.8049, 6.7989 Å; angles 83.97, 63.82, 75.28 degrees
Last column: nearest neighbours and their distance in Å.
Fractional coordinates of all 12 atoms:
La: 0.3616 0.7782 0.4986  7 Ho 3.40-3.74, 2 La 3.70
La: 0.2198 0.3379 0.2224  4 Ho 3.29-3.56
La: 0.7802 0.6621 0.7776  4 Ho 3.29-3.56
La: 0.6384 0.2218 0.5014  7 Ho 3.40-3.74, 2 La 3.70
Ho: 0.2132 0.0756 0.4980  4 Ho 3.15-3.46, 1 Th 3.19, 4 La 3.40-3.45
Ho: 0.7868 0.9244 0.5020  4 Ho 3.15-3.46, 1 Th 3.19, 4 La 3.40-3.45
Ho: 0.6322 0.5062 0.2294  5 La 3.29-3.66, 4 Ho 3.30-3.68
Ho: 0.5000 0.0000 0.0000  2 Th 3.00, 2 Ho 3.15
Ho: 0.0691 0.6894 0.1724  4 Ho 3.30-3.68
Ho: 0.3678 0.4938 0.7706  5 La 3.29-3.66, 4 Ho 3.30-3.68
Ho: 0.9309 0.3106 0.8276  4 Ho 3.30-3.68
Th: 0.0000 0.0000 0.0000  4 Ho 3.00-3.19

- spin magnetization (μB/cell) = 0.000
- calculated volume (Å³ per cell) = 417.94
- total DFT energy (no corrections) (eV/atom) = -4.6522



La3Ho2Th | PBE-GGA | relaxed

Cell lengths 4.9633, 4.9633, 17.1155 Å; angles 98.34, 98.35, 89.93 degrees
Last column: nearest neighbours and their distance in Å.
Fractional coordinates of all 12 atoms:
Ho: 0.7500 0.2500 0.5000  4 Ho 3.51, 4 Th 3.57, 4 La 3.69
Ho: 0.2516 0.7484 0.0000  4 Ho 3.48-3.53, 8 La 3.62-3.75
Ho: 0.2500 0.7500 0.5000  4 Ho 3.51, 4 Th 3.57, 4 La 3.69
Ho: 0.7484 0.2516 0.0000  4 Ho 3.48-3.53, 8 La 3.62-3.75
Th: 0.3267 0.3266 0.6533  6 La 3.49-3.52, 4 Ho 3.57
Th: 0.6733 0.6734 0.3467  6 La 3.49-3.52, 4 Ho 3.57
La: 0.6507 0.6507 0.8373  4 La 3.26-3.52, 1 Th 3.49, 2 Ho 3.62
La: 0.8314 0.8314 0.6628  2 La 3.48, 4 Th 3.51-3.52, 4 Ho 3.69
La: 0.1686 0.1686 0.3372  2 La 3.48, 4 Th 3.51-3.52, 4 Ho 3.69
La: 0.1867 0.1867 0.8373  4 La 3.26-3.52, 1 Th 3.49, 2 Ho 3.62
La: 0.3493 0.3493 0.1627  4 La 3.26-3.52, 1 Th 3.49, 2 Ho 3.62
La: 0.8133 0.8133 0.1627  4 La 3.26-3.52, 1 Th 3.49, 2 Ho 3.62

- spin magnetization (μB/cell) = 0.000
- calculated volume (Å³ per cell) = 412.66
- total DFT energy (no corrections) (eV/atom) = -5.0566